Below is an optimized crystal structure of Pm3MoO7, with properties calculated at the PBE+U level.

Output
Volume (Å³ per cell): 319.7
Total magnetization (μB per formula unit): 1.000
Uncorrected energy (eV/atom): -8.033

abc: 6.6396 6.6396 7.6590
angles: 90.00 90.00 108.79
Element x y z (fractional)
Pm (0.0298, 0.0298, 0.0000)
Pm (0.0367, 0.4995, 0.2563)
Pm (0.4995, 0.0367, 0.7437)
Pm (0.5005, 0.9633, 0.2437)
Pm (0.9633, 0.5005, 0.7563)
Pm (0.9702, 0.9702, 0.5000)
Mo (0.4993, 0.4993, 0.5000)
Mo (0.5007, 0.5007, 0.0000)
O (0.1304, 0.8696, 0.7500)
O (0.1361, 0.8639, 0.2500)
O (0.1789, 0.4196, 0.9754)
O (0.1951, 0.4435, 0.5362)
O (0.4196, 0.1789, 0.0246)
O (0.4317, 0.5683, 0.2500)
O (0.4435, 0.1951, 0.4638)
O (0.5565, 0.8049, 0.9638)
O (0.5683, 0.4317, 0.7500)
O (0.5804, 0.8211, 0.5246)
O (0.8049, 0.5565, 0.0362)
O (0.8211, 0.5804, 0.4754)
O (0.8639, 0.1361, 0.7500)
O (0.8696, 0.1304, 0.2500)